(1)
Compound: BaAg3Pd2
Source: the Alexandria database
Functional: GGA-PBE
Structure: relaxed

Cell lengths 10.2311, 10.2311, 10.2311 Å; angles 32.50, 32.50, 32.50 degrees
With the nearest neighbours (Å) after each atom.
Fractional coordinates of all 12 atoms:
Ba 0.2003 0.2003 0.2003  6 Ag 3.27
Ba 0.7997 0.7997 0.7997  6 Ag 3.27
Ag 0.2452 0.2452 0.7463  3 Pd 2.82-2.83, 4 Ag 2.86-2.87
Ag 0.2452 0.7463 0.2452  3 Pd 2.82-2.83, 4 Ag 2.86-2.87
Ag 0.2537 0.7548 0.7548  3 Pd 2.82-2.83, 4 Ag 2.86-2.87
Ag 0.7463 0.2452 0.2452  3 Pd 2.82-2.83, 4 Ag 2.86-2.87
Ag 0.7548 0.2537 0.7548  3 Pd 2.82-2.83, 4 Ag 2.86-2.87
Ag 0.7548 0.7548 0.2537  3 Pd 2.82-2.83, 4 Ag 2.86-2.87
Pd 0.0000 0.0000 0.0000  6 Ag 2.82, 6 Pd 2.86
Pd 0.0000 0.5000 0.5000  4 Ag 2.83, 6 Pd 2.86
Pd 0.5000 0.0000 0.5000  4 Ag 2.83, 6 Pd 2.86
Pd 0.5000 0.5000 0.0000  4 Ag 2.83, 6 Pd 2.86

## Properties
Energy of formation (meV/atom): -38
SG: No. 166
Energy above the lowest structure with this stoichiometry (eV per atom): 0.192


(2)
Compound: HoScTlO2
Source: the Alexandria database
Functional: GGA-PBE
Structure: relaxed

Cell lengths 3.7482, 3.7482, 13.7074 Å; angles 90.00, 90.00, 90.00 degrees
With the nearest neighbours (Å) after each atom.
Fractional coordinates of all 10 atoms:
Ho 0.0000 0.0000 0.0000  4 O 2.21
Ho 0.5000 0.5000 0.5000  4 O 2.21
Sc 0.0000 0.0000 0.3472  4 O 2.09
Sc 0.5000 0.5000 0.8472  4 O 2.09
Tl 0.0000 0.0000 0.6718  4 Ho 3.55, 4 Sc 3.58, 4 Tl 3.75, 4 O 3.82
Tl 0.5000 0.5000 0.1718  4 Ho 3.55, 4 Sc 3.58, 4 Tl 3.75, 4 O 3.82
O 0.0000 0.5000 0.4148  2 Sc 2.09, 2 Ho 2.21
O 0.0000 0.5000 0.9148  2 Sc 2.09, 2 Ho 2.21
O 0.5000 0.0000 0.4148  2 Sc 2.09, 2 Ho 2.21
O 0.5000 0.0000 0.9148  2 Sc 2.09, 2 Ho 2.21

## Properties
Formation energy (no corrections) (eV/atom): -2.39
SG: No. 107


(3)
Compound: LuCoS2
Source: the Alexandria database
Functional: GGA-PBE
Structure: relaxed

Cell lengths 3.4672, 3.4672, 22.4825 Å; angles 90.00, 90.00, 120.00 degrees
With the nearest neighbours (Å) after each atom.
Fractional coordinates of all 12 atoms:
Lu 0.0000 0.0000 0.0000  2 S 2.63
Lu 0.3333 0.6667 0.6667  2 S 2.63
Lu 0.6667 0.3333 0.3333  2 S 2.63
Co 0.0000 0.0000 0.5000  6 S 2.29
Co 0.3333 0.6667 0.1667  6 S 2.29
Co 0.6667 0.3333 0.8333  6 S 2.29
S 0.0000 0.0000 0.1171  3 Co 2.29
S 0.0000 0.0000 0.8829  3 Co 2.29
S 0.3333 0.6667 0.5496  3 Co 2.29
S 0.3333 0.6667 0.7837  3 Co 2.29
S 0.6667 0.3333 0.2163  3 Co 2.29
S 0.6667 0.3333 0.4504  3 Co 2.29

## Properties
Formation energy (no corrections) (eV/atom): -0.51
SG: No. 166


(4)
Compound: NdMoN2
Source: the Alexandria database
Functional: GGA-PBE
Structure: relaxed

Cell lengths 3.1704, 3.1704, 11.1193 Å; angles 90.00, 90.00, 90.00 degrees
With the nearest neighbours (Å) after each atom.
Fractional coordinates of all 8 atoms:
Nd 0.0000 0.0000 0.0000  8 N 2.71
Nd 0.5000 0.5000 0.5000  8 N 2.71
Mo 0.0000 0.5000 0.7500  4 N 2.02
Mo 0.5000 0.0000 0.2500  4 N 2.02
N 0.0000 0.0000 0.3623  2 Mo 2.02
N 0.0000 0.0000 0.6377  2 Mo 2.02
N 0.5000 0.5000 0.1377  2 Mo 2.02
N 0.5000 0.5000 0.8623  2 Mo 2.02

## Properties
Formation energy (no corrections) (eV/atom): -0.51
SG: No. 119
Energy above the lowest structure with this stoichiometry (eV per atom): 0.441


(5)
Compound: Mn2HgCl
Source: the Alexandria database
Functional: GGA-PBE
Structure: relaxed

Cell lengths 3.0937, 3.0937, 7.6716 Å; angles 90.00, 90.00, 90.00 degrees
With the nearest neighbours (Å) after each atom.
Fractional coordinates of all 4 atoms:
Mn 0.0000 0.0000 0.2486  4 Cl 2.90, 4 Hg 2.92, 4 Mn 3.09
Mn 0.0000 0.0000 0.7514  4 Cl 2.90, 4 Hg 2.92, 4 Mn 3.09
Hg 0.5000 0.5000 0.5000  8 Mn 2.92, 4 Hg 3.09
Cl 0.5000 0.5000 0.0000  8 Mn 2.90, 4 Cl 3.09

## Properties
Formation energy (no corrections) (eV/atom): 0.23
SG: No. 123
Energy above the lowest structure with this stoichiometry (eV per atom): 0.169


(6)
Compound: MgAgPb2
Source: the Alexandria database
Functional: GGA-PBE
Structure: relaxed

Cell lengths 3.3216, 3.3216, 32.4599 Å; angles 90.00, 90.00, 120.00 degrees
With the nearest neighbours (Å) after each atom.
Fractional coordinates of all 12 atoms:
Mg 0.0000 0.0000 0.0000  3 Ag 2.87
Mg 0.3333 0.6667 0.6667  3 Ag 2.87
Mg 0.6667 0.3333 0.3333  3 Ag 2.87
Ag 0.0000 0.0000 0.7326  3 Mg 2.87, 3 Pb 3.19
Ag 0.3333 0.6667 0.3993  3 Mg 2.87, 3 Pb 3.19
Ag 0.6667 0.3333 0.0660  3 Mg 2.87, 3 Pb 3.19
Pb 0.0000 0.0000 0.2486  6 Pb 3.32, 3 Mg 3.35
Pb 0.0000 0.0000 0.4780  3 Ag 3.19, 6 Pb 3.32
Pb 0.3333 0.6667 0.1447  3 Ag 3.19, 6 Pb 3.32
Pb 0.3333 0.6667 0.9152  6 Pb 3.32, 3 Mg 3.35
Pb 0.6667 0.3333 0.5819  6 Pb 3.32, 3 Mg 3.35
Pb 0.6667 0.3333 0.8113  3 Ag 3.19, 6 Pb 3.32

## Properties
Energy of formation (meV/atom): 7
SG: No. 160


(7)
Compound: Tm6GaS4
Source: the Alexandria database
Functional: GGA-PBE
Structure: relaxed

Cell lengths 6.6542, 6.6542, 19.5978 Å; angles 90.00, 90.00, 146.46 degrees
With the nearest neighbours (Å) after each atom.
Fractional coordinates of all 22 atoms:
Tm 0.0000 0.0000 0.0000  6 S 2.67-2.72
Tm 0.0000 0.0000 0.5000  6 S 2.67-2.72
Tm 0.1635 0.8365 0.7500  2 S 2.66, 2 Ga 2.90
Tm 0.2717 0.7283 0.0859  5 S 2.70-2.72
Tm 0.2717 0.7283 0.4141  5 S 2.70-2.72
Tm 0.4529 0.5471 0.6639  3 S 2.70-2.72, 2 Ga 2.97
Tm 0.4529 0.5471 0.8361  3 S 2.70-2.72, 2 Ga 2.97
Tm 0.5471 0.4529 0.1639  3 S 2.70-2.72, 2 Ga 2.97
Tm 0.5471 0.4529 0.3361  3 S 2.70-2.72, 2 Ga 2.97
Tm 0.7283 0.2717 0.5859  5 S 2.70-2.72
Tm 0.7283 0.2717 0.9141  5 S 2.70-2.72
Tm 0.8365 0.1635 0.2500  2 S 2.66, 2 Ga 2.90
Ga 0.1662 0.8338 0.2500  6 Tm 2.90-2.97
Ga 0.8338 0.1662 0.7500  6 Tm 2.90-2.97
S 0.0900 0.9100 0.6229  6 Tm 2.66-2.72
S 0.0900 0.9100 0.8771  6 Tm 2.66-2.72
S 0.3619 0.6381 0.5395  6 Tm 2.70-2.72
S 0.3619 0.6381 0.9605  6 Tm 2.70-2.72
S 0.6381 0.3619 0.0395  6 Tm 2.70-2.72
S 0.6381 0.3619 0.4605  6 Tm 2.70-2.72
S 0.9100 0.0900 0.1229  6 Tm 2.66-2.72
S 0.9100 0.0900 0.3771  6 Tm 2.66-2.72

## Properties
Formation energy (no corrections) (eV/atom): -1.55
SG: No. 63


(8)
Compound: TaBeAg3
Source: the Alexandria database
Functional: GGA-PBE
Structure: relaxed

Cell lengths 5.1688, 5.1688, 5.1688 Å; angles 90.00, 90.00, 90.00 degrees
With the nearest neighbours (Å) after each atom.
Fractional coordinates of all 5 atoms:
Ta 0.0000 0.0000 0.0000  6 Ag 2.58
Be 0.5000 0.5000 0.5000  12 Ag 3.65
Ag 0.0000 0.0000 0.5000  2 Ta 2.58
Ag 0.0000 0.5000 0.0000  2 Ta 2.58
Ag 0.5000 0.0000 0.0000  2 Ta 2.58

## Properties
Energy of formation (meV/atom): 1941
SG: No. 221
Energy above the lowest structure with this stoichiometry (eV per atom): 1.182